No. 1
Computed, not measured: an optimized crystal structure of ZrCd2PbO6 at the GGA-PBE level of DFT.

abc: 5.945 5.945 5.945
angles: 57.29 57.29 57.29
Fractional coordinates of all 10 atoms:
Zr: 0.000 0.000 0.000
Cd: 0.275 0.275 0.275
Cd: 0.778 0.778 0.778
Pb: 0.499 0.499 0.499
O: 0.121 0.725 0.358
O: 0.211 0.630 0.869
O: 0.358 0.121 0.725
O: 0.630 0.869 0.211
O: 0.725 0.358 0.121
O: 0.869 0.211 0.630

Output
**Uncorrected energy**: -6.0345 eV per atom
**Total magnetization**: 0.00 Bohr magnetons per cell



No. 2
Computed, not measured: an optimized crystal structure of CdPdO2 at the GGA-PBE level of DFT.

abc: 4.505 4.505 11.987
angles: 90.00 90.00 90.00
Fractional coordinates of all 16 atoms:
Cd: 0.000 0.000 0.000
Cd: 0.000 0.500 0.250
Cd: 0.500 0.000 0.750
Cd: 0.500 0.500 0.500
Pd: 0.000 0.000 0.500
Pd: 0.000 0.500 0.750
Pd: 0.500 0.000 0.250
Pd: 0.500 0.500 0.000
O: 0.215 0.250 0.625
O: 0.250 0.715 0.875
O: 0.250 0.785 0.375
O: 0.285 0.250 0.125
O: 0.715 0.750 0.125
O: 0.750 0.215 0.375
O: 0.750 0.285 0.875
O: 0.785 0.750 0.625

Output
**Uncorrected energy**: -4.3296 eV per atom
**Total magnetization**: 0.00 Bohr magnetons per cell



No. 3
Computed, not measured: an optimized crystal structure of Cd3PdO at the GGA-PBE level of DFT.

abc: 5.139 5.139 5.139
angles: 90.00 90.00 90.00
Fractional coordinates of all 5 atoms:
Cd: 0.000 0.000 0.500
Cd: 0.000 0.500 0.000
Cd: 0.500 0.000 0.000
Pd: 0.000 0.000 0.000
O: 0.500 0.500 0.500

Output
**Excess energy over the best structure of this formula in the dataset**: 311 kJ/mol of formula units
**Uncorrected energy**: -2.1382 eV per atom
**Total magnetization**: 0.00 Bohr magnetons per cell



No. 4
Computed, not measured: an optimized crystal structure of Cd3PdO at the GGA-PBE level of DFT.

abc: 4.540 4.540 4.540
angles: 90.00 90.00 90.00
Fractional coordinates of all 5 atoms:
Cd: 0.000 0.000 0.500
Cd: 0.000 0.500 0.000
Cd: 0.500 0.000 0.000
Pd: 0.500 0.500 0.500
O: 0.000 0.000 0.000

Output
**Excess energy over the best structure of this formula in the dataset**: 0 kJ/mol of formula units
**Uncorrected energy**: -2.7831 eV per atom
**Total magnetization**: 0.00 Bohr magnetons per cell



No. 5
Computed, not measured: an optimized crystal structure of CdPdO at the GGA-PBE level of DFT.

abc: 3.195 3.195 9.184
angles: 90.00 90.00 90.00
Fractional coordinates of all 6 atoms:
Cd: 0.000 0.000 0.000
Cd: 0.500 0.500 0.500
Pd: 0.000 0.000 0.306
Pd: 0.500 0.500 0.806
O: 0.000 0.000 0.562
O: 0.500 0.500 0.062

Output
**Excess energy over the best structure of this formula in the dataset**: 87 kJ/mol of formula units
**Uncorrected energy**: -3.8389 eV per atom
**Total magnetization**: 0.00 Bohr magnetons per cell



No. 6
Computed, not measured: an optimized crystal structure of CdPdO2 at the GGA-PBE level of DFT.

abc: 3.227 3.227 19.098
angles: 90.00 90.00 120.00
Fractional coordinates of all 12 atoms:
Cd: 0.000 0.000 0.000
Cd: 0.333 0.667 0.667
Cd: 0.667 0.333 0.333
Pd: 0.000 0.000 0.500
Pd: 0.333 0.667 0.167
Pd: 0.667 0.333 0.833
O: 0.000 0.000 0.399
O: 0.000 0.000 0.601
O: 0.333 0.667 0.066
O: 0.333 0.667 0.268
O: 0.667 0.333 0.732
O: 0.667 0.333 0.934

Output
**Uncorrected energy**: -4.4661 eV per atom
**Total magnetization**: 0.00 Bohr magnetons per cell



No. 7
Computed, not measured: an optimized crystal structure of Cd2PdO at the GGA-PBE level of DFT.

abc: 6.590 6.590 6.622
angles: 90.00 90.00 90.00
Fractional coordinates of all 16 atoms:
Cd: 0.188 0.250 0.125
Cd: 0.250 0.688 0.375
Cd: 0.250 0.812 0.875
Cd: 0.312 0.250 0.625
Cd: 0.688 0.750 0.625
Cd: 0.750 0.188 0.875
Cd: 0.750 0.312 0.375
Cd: 0.812 0.750 0.125
Pd: 0.000 0.000 0.500
Pd: 0.000 0.500 0.750
Pd: 0.500 0.000 0.250
Pd: 0.500 0.500 0.000
O: 0.000 0.000 0.000
O: 0.000 0.500 0.250
O: 0.500 0.000 0.750
O: 0.500 0.500 0.500

Output
**Uncorrected energy**: -3.3341 eV per atom
**Total magnetization**: 0.00 Bohr magnetons per cell



No. 8
Computed, not measured: an optimized crystal structure of CdPdO at the GGA-PBE level of DFT.

abc: 9.868 3.200 7.660
angles: 90.00 128.35 90.00
Fractional coordinates of all 12 atoms:
Cd: 0.247 0.000 0.299
Cd: 0.253 0.500 0.701
Cd: 0.747 0.500 0.299
Cd: 0.753 0.000 0.701
Pd: 0.115 0.000 0.860
Pd: 0.385 0.500 0.140
Pd: 0.615 0.500 0.860
Pd: 0.885 0.000 0.140
O: 0.082 0.500 0.327
O: 0.418 0.000 0.673
O: 0.582 0.000 0.327
O: 0.918 0.500 0.673

Output
**Excess energy over the best structure of this formula in the dataset**: 0 kJ/mol of formula units
**Uncorrected energy**: -4.1391 eV per atom
**Total magnetization**: 0.00 Bohr magnetons per cell



No. 9
Computed, not measured: an optimized crystal structure of CdPd2O3 at the GGA-PBE level of DFT.

abc: 4.656 4.656 4.220
angles: 90.00 90.00 90.00
Fractional coordinates of all 6 atoms:
Cd: 0.000 0.000 0.000
Pd: 0.000 0.500 0.500
Pd: 0.500 0.000 0.500
O: 0.000 0.000 0.500
O: 0.000 0.500 0.000
O: 0.500 0.000 0.000

Output
**Uncorrected energy**: -4.5121 eV per atom
**Total magnetization**: 1.45 Bohr magnetons per cell



No. 10
Computed, not measured: an optimized crystal structure of Pm2CdPdO6 at the GGA-PBE level of DFT.

abc: 5.569 5.981 9.784
angles: 90.00 124.47 90.00
Fractional coordinates of all 20 atoms:
Pm: 0.223 0.071 0.247
Pm: 0.223 0.429 0.747
Pm: 0.777 0.571 0.253
Pm: 0.777 0.929 0.753
Cd: 0.000 0.000 0.500
Cd: 0.000 0.500 0.000
Pd: 0.500 0.000 0.000
Pd: 0.500 0.500 0.500
O: 0.143 0.179 0.942
O: 0.143 0.321 0.442
O: 0.254 0.713 0.926
O: 0.254 0.787 0.426
O: 0.396 0.058 0.767
O: 0.396 0.442 0.267
O: 0.604 0.558 0.733
O: 0.604 0.942 0.233
O: 0.746 0.213 0.574
O: 0.746 0.287 0.074
O: 0.857 0.679 0.558
O: 0.857 0.821 0.058

Output
**Uncorrected energy**: -6.5788 eV per atom
**Total magnetization**: 0.00 Bohr magnetons per cell



No. 11
Computed, not measured: an optimized crystal structure of PmCdPdO4 at the GGA-PBE level of DFT.

abc: 6.454 6.454 7.117
angles: 122.42 122.42 79.36
Fractional coordinates of all 14 atoms:
Pm: 0.000 0.000 0.000
Pm: 0.000 0.000 0.500
Cd: 0.415 0.585 0.750
Cd: 0.585 0.415 0.250
Pd: 0.000 0.500 0.000
Pd: 0.500 0.000 0.500
O: 0.211 0.214 0.958
O: 0.214 0.211 0.458
O: 0.268 0.702 0.043
O: 0.298 0.732 0.457
O: 0.702 0.268 0.543
O: 0.732 0.298 0.957
O: 0.786 0.789 0.542
O: 0.789 0.786 0.042

Output
**Uncorrected energy**: -5.9195 eV per atom
**Total magnetization**: 0.00 Bohr magnetons per cell



No. 12
Computed, not measured: an optimized crystal structure of Cd2PdPt2O6 at the GGA-PBE level of DFT.

abc: 5.838 5.838 5.572
angles: 98.11 98.11 121.62
Fractional coordinates of all 11 atoms:
Cd: 0.164 0.836 0.000
Cd: 0.836 0.164 0.000
Pd: 0.000 0.000 0.500
Pt: 0.347 0.653 0.500
Pt: 0.653 0.347 0.500
O: 0.004 0.415 0.711
O: 0.270 0.270 0.316
O: 0.415 0.004 0.711
O: 0.585 0.996 0.289
O: 0.730 0.730 0.684
O: 0.996 0.585 0.289

Output
**Uncorrected energy**: -4.8437 eV per atom
**Total magnetization**: 0.03 Bohr magnetons per cell



No. 13
Computed, not measured: an optimized crystal structure of CdPdPtO6 at the GGA-PBE level of DFT.

abc: 5.280 5.280 9.508
angles: 90.00 90.00 120.00
Fractional coordinates of all 18 atoms:
Cd: 0.000 0.000 0.000
Cd: 0.000 0.000 0.500
Pd: 0.333 0.667 0.250
Pd: 0.667 0.333 0.750
Pt: 0.333 0.667 0.750
Pt: 0.667 0.333 0.250
O: 0.004 0.367 0.636
O: 0.004 0.637 0.864
O: 0.363 0.367 0.864
O: 0.363 0.996 0.636
O: 0.367 0.004 0.136
O: 0.367 0.363 0.364
O: 0.633 0.637 0.636
O: 0.633 0.996 0.864
O: 0.637 0.004 0.364
O: 0.637 0.633 0.136
O: 0.996 0.363 0.136
O: 0.996 0.633 0.364

Output
**Uncorrected energy**: -5.0894 eV per atom
**Total magnetization**: 3.63 Bohr magnetons per cell



No. 14
Computed, not measured: an optimized crystal structure of CdPdPtO4 at the GGA-PBE level of DFT.

abc: 6.794 6.794 6.794
angles: 127.82 126.51 77.99
Fractional coordinates of all 14 atoms:
Cd: 0.409 0.159 0.250
Cd: 0.591 0.841 0.750
Pd: 0.000 0.500 0.500
Pd: 0.500 0.500 0.000
Pt: 0.000 0.000 0.500
Pt: 0.000 0.500 0.000
O: 0.157 0.698 0.459
O: 0.261 0.302 0.959
O: 0.275 0.303 0.528
O: 0.275 0.747 0.972
O: 0.725 0.253 0.028
O: 0.725 0.697 0.472
O: 0.739 0.698 0.041
O: 0.843 0.302 0.541

Output
**Uncorrected energy**: -5.0420 eV per atom
**Total magnetization**: 0.00 Bohr magnetons per cell



No. 15
Computed, not measured: an optimized crystal structure of PuCdPd2O6 at the GGA-PBE level of DFT.

abc: 6.214 6.214 4.163
angles: 90.00 90.00 90.00
Fractional coordinates of all 10 atoms:
Pu: 0.000 0.000 0.000
Cd: 0.500 0.500 0.887
Pd: 0.000 0.500 0.037
Pd: 0.500 0.000 0.037
O: 0.000 0.000 0.502
O: 0.231 0.231 0.008
O: 0.231 0.769 0.008
O: 0.500 0.500 0.396
O: 0.769 0.231 0.008
O: 0.769 0.769 0.008

Output
**Uncorrected energy**: -6.5484 eV per atom
**Total magnetization**: 0.98 Bohr magnetons per cell



No. 16
Computed, not measured: an optimized crystal structure of Rb2CdPdO4 at the GGA-PBE level of DFT.

abc: 12.482 10.730 7.766
angles: 83.23 58.61 38.16
Fractional coordinates of all 16 atoms:
Rb: 0.054 0.054 0.696
Rb: 0.304 0.304 0.946
Rb: 0.696 0.696 0.054
Rb: 0.946 0.946 0.304
Cd: 0.125 0.125 0.125
Cd: 0.875 0.875 0.875
Pd: 0.375 0.375 0.375
Pd: 0.625 0.625 0.625
O: 0.052 0.694 0.506
O: 0.248 0.506 0.694
O: 0.306 0.948 0.752
O: 0.494 0.752 0.948
O: 0.506 0.248 0.052
O: 0.694 0.052 0.248
O: 0.752 0.494 0.306
O: 0.948 0.306 0.494

Output
**Uncorrected energy**: -4.2054 eV per atom
**Total magnetization**: 4.03 Bohr magnetons per cell



No. 17
Computed, not measured: an optimized crystal structure of CdRePdO2 at the GGA-PBE level of DFT.

abc: 3.784 3.784 6.051
angles: 90.00 90.00 90.00
Fractional coordinates of all 5 atoms:
Cd: 0.000 0.000 0.000
Re: 0.000 0.000 0.500
Pd: 0.500 0.500 0.000
O: 0.000 0.500 0.500
O: 0.500 0.000 0.500

Output
**Uncorrected energy**: -6.1818 eV per atom
**Total magnetization**: 0.00 Bohr magnetons per cell



No. 18
Computed, not measured: an optimized crystal structure of Cd2PdRhO6 at the GGA-PBE level of DFT.

abc: 5.513 5.513 4.406
angles: 90.00 90.00 90.00
Fractional coordinates of all 10 atoms:
Cd: 0.000 0.500 0.000
Cd: 0.500 0.000 0.000
Pd: 0.000 0.000 0.607
Rh: 0.500 0.500 0.580
O: 0.000 0.000 0.144
O: 0.258 0.258 0.702
O: 0.258 0.742 0.702
O: 0.500 0.500 0.165
O: 0.742 0.258 0.702
O: 0.742 0.742 0.702

Output
**Uncorrected energy**: -4.8464 eV per atom
**Total magnetization**: 0.00 Bohr magnetons per cell



No. 19
Computed, not measured: an optimized crystal structure of CdPdRhO4 at the GGA-PBE level of DFT.

abc: 6.462 6.462 6.462
angles: 122.91 121.66 86.09
Fractional coordinates of all 14 atoms:
Cd: 0.389 0.139 0.250
Cd: 0.611 0.861 0.750
Pd: 0.000 0.000 0.500
Pd: 0.000 0.500 0.000
Rh: 0.000 0.500 0.500
Rh: 0.500 0.500 0.000
O: 0.183 0.716 0.467
O: 0.248 0.283 0.535
O: 0.248 0.713 0.965
O: 0.251 0.284 0.967
O: 0.749 0.716 0.033
O: 0.752 0.287 0.035
O: 0.752 0.717 0.465
O: 0.817 0.284 0.533

Output
**Uncorrected energy**: -5.4148 eV per atom
**Total magnetization**: 1.78 Bohr magnetons per cell



No. 20
Computed, not measured: an optimized crystal structure of CdPdRh2O at the GGA-PBE level of DFT.

abc: 3.995 3.995 4.821
angles: 90.00 90.00 90.00
Fractional coordinates of all 5 atoms:
Cd: 0.000 0.000 0.000
Pd: 0.500 0.500 0.000
Rh: 0.000 0.500 0.500
Rh: 0.500 0.000 0.500
O: 0.000 0.000 0.500

Output
**Uncorrected energy**: -5.1035 eV per atom
**Total magnetization**: 0.30 Bohr magnetons per cell